The following is a PBE with a Hubbard U calculation of an optimized crystal structure of VBr2F, from Alexandria.

Computed properties:
The value obtained for the energy above the most stable polymorph in this dataset is 60.8 kJ per mole of atoms. The space group is Fm-3m, No. 225. The calculation puts the uncorrected energy at -3.7759 eV/atom.

extended XYZ file:
```
16
Lattice="6.4955 0.0000 0.0000 0.0000 6.4955 0.0000 0.0000 0.0000 6.4955" Properties=species:S:1:pos:R:3 pbc="T T T"
V 0.0000 0.0000 0.0000
V 0.0000 3.2477 3.2477
V 3.2477 0.0000 3.2477
V 3.2477 3.2477 0.0000
Br 1.6239 1.6239 1.6239
Br 1.6239 1.6239 4.8716
Br 1.6239 4.8716 1.6239
Br 1.6239 4.8716 4.8716
Br 4.8716 1.6239 1.6239
Br 4.8716 1.6239 4.8716
Br 4.8716 4.8716 1.6239
Br 4.8716 4.8716 4.8716
F 0.0000 0.0000 3.2477
F 0.0000 3.2477 0.0000
F 3.2477 0.0000 0.0000
F 3.2477 3.2477 3.2477
```